# 1
DFT (PBE) results for a relaxed AlPt2Se crystal.

abc: 2.8582 2.8582 8.0192
angles: 90.00 90.00 90.00
Closest atoms and distances in Å follow each position.
Space group P4/mmm (No. 123)
Inequivalent atoms, fractional coordinates:
Al (0.0000, 0.0000, 0.0000) [1 per cell]  8 Pt 2.61, 4 Al 2.86
Pt (0.5000, 0.5000, 0.2064) [2 per cell]  4 Al 2.61, 4 Pt 2.86
Se (0.0000, 0.0000, 0.5000) [1 per cell]  4 Se 2.86, 8 Pt 3.10

crystal system = tetragonal

---

# 2
DFT (PBE) results for a relaxed AlPt2Se crystal.

abc: 4.1548 4.1548 16.5221
angles: 90.00 90.00 90.00
Closest atoms and distances in Å follow each position.
Space group I-42d (No. 122)
Inequivalent atoms, fractional coordinates:
Al (0.0000, 0.0000, 0.0000) [4 per cell]  4 Pt 2.53
Pt (0.2477, 0.2500, 0.1250) [8 per cell]  2 Al 2.53, 2 Se 2.54
Se (0.0000, 0.0000, 0.5000) [4 per cell]  4 Pt 2.54

crystal system = tetragonal

---

# 3
DFT (PBE) results for a relaxed AlPt2Se crystal.

abc: 2.8787 3.2804 7.1370
angles: 90.00 90.00 90.00
Closest atoms and distances in Å follow each position.
Space group Pmmm (No. 47)
Inequivalent atoms, fractional coordinates:
Al (0.0000, 0.0000, 0.0000) [1 per cell]  8 Pt 2.60, 2 Al 2.88
Pt (0.5000, 0.5000, 0.1984) [2 per cell]  4 Al 2.60, 2 Se 2.71, 3 Pt 2.83-2.88
Se (0.5000, 0.0000, 0.5000) [1 per cell]  4 Pt 2.71, 2 Se 2.88

crystal system = orthorhombic

---

One value per record, in order, for ΔE_f (raw): -429, -311, -555 meV/atom.